Entry 1:
Computed, not measured: GdEr2Mg3Al2Hg after structural relaxation at the GGA-PBE level of DFT.

Cell and atoms, written as extended XYZ:
```
9
Lattice="4.519 0.000 0.000 0.000 6.423 3.678 0.000 -6.423 3.678" Properties=species:S:1:pos:R:3 pbc="T T T"
Gd 0.000 0.000 0.000
Er 0.000 -2.734 2.664
Er 0.000 2.734 2.664
Mg 2.260 0.000 2.419
Mg 2.260 -1.571 5.122
Mg 2.260 1.571 5.122
Al 2.260 -4.265 4.231
Al 2.260 4.265 4.231
Hg 0.000 0.000 4.193
```

Output
Total moment ... 0.0 μB/f.u.
Total energy ... -3.27 eV per atom
Calculated volume ... 213.6 Å³/cell

=====

Entry 2:
Computed, not measured: NiBiIrPt after structural relaxation at the GGA-PBE level of DFT.

Cell and atoms, written as extended XYZ:
```
4
Lattice="0.000 3.223 3.223 3.223 0.000 3.223 3.223 3.223 0.000" Properties=species:S:1:pos:R:3 pbc="T T T"
Ni 0.000 0.000 0.000
Bi 4.835 4.835 4.835
Ir 1.612 1.612 1.612
Pt 3.223 3.223 3.223
```

Output
Total moment ... 0.0 μB/f.u.
Total energy ... -5.79 eV per atom
Calculated volume ... 67.0 Å³/cell

=====

Entry 3:
Computed, not measured: DyYS2Br2 after structural relaxation at the GGA-PBE level of DFT.

Cell and atoms, written as extended XYZ:
```
6
Lattice="4.070 0.000 0.000 0.000 5.367 0.000 0.000 0.000 9.111" Properties=species:S:1:pos:R:3 pbc="T T T"
Dy 0.000 0.000 0.000
Y 2.035 2.683 6.795
S 0.000 2.683 8.645
S 2.035 0.000 7.270
Br 0.000 2.683 4.825
Br 2.035 0.000 1.965
```

Output
Total moment ... 0.0 μB/f.u.
Total energy ... -5.80 eV per atom
Calculated volume ... 199.0 Å³/cell

=====

Entry 4:
Computed, not measured: PrTlHgTe3 after structural relaxation at the GGA-PBE level of DFT.

Cell and atoms, written as extended XYZ:
```
24
Lattice="9.074 0.000 0.000 0.000 4.715 0.000 0.000 0.000 18.779" Properties=species:S:1:pos:R:3 pbc="T T T"
Pr 2.009 1.179 0.775
Pr 2.528 3.536 10.164
Pr 6.546 1.179 8.615
Pr 7.065 3.536 18.004
Tl 0.699 1.179 15.105
Tl 3.839 3.536 5.716
Tl 5.236 1.179 13.063
Tl 8.376 3.536 3.673
Hg 0.392 1.179 6.333
Hg 4.145 3.536 15.723
Hg 4.929 1.179 3.056
Hg 8.682 3.536 12.446
Te 0.060 1.179 10.793
Te 1.172 3.536 17.614
Te 1.932 1.179 3.966
Te 2.605 3.536 13.355
Te 3.365 1.179 8.224
Te 4.477 3.536 1.404
Te 4.597 1.179 17.375
Te 5.709 3.536 10.555
Te 6.469 1.179 5.424
Te 7.142 3.536 14.813
Te 7.902 1.179 1.165
Te 9.014 3.536 7.986
```

Output
Total moment ... 0.0 μB/f.u.
Total energy ... -3.49 eV per atom
Calculated volume ... 803.5 Å³/cell

=====

Entry 5:
Computed, not measured: Nd4BCl5 after structural relaxation at the GGA-PBE level of DFT.

Cell and atoms, written as extended XYZ:
```
10
Lattice="8.974 -1.994 0.000 8.974 1.994 0.000 -2.011 0.000 7.905" Properties=species:S:1:pos:R:3 pbc="T T T"
Nd -0.536 0.000 2.202
Nd 5.470 0.000 3.248
Nd 10.466 0.000 4.657
Nd 16.471 0.000 5.703
B 7.968 0.000 3.952
Cl 1.252 0.000 6.640
Cl 2.353 0.000 2.753
Cl 8.974 0.000 0.000
Cl 13.583 0.000 5.152
Cl 14.683 0.000 1.265
```

Output
Total moment ... 0.0 μB/f.u.
Total energy ... -5.15 eV per atom
Calculated volume ... 282.9 Å³/cell

=====

Entry 6:
Computed, not measured: BaPrNO after structural relaxation at the GGA-PBE level of DFT.

Cell and atoms, written as extended XYZ:
```
8
Lattice="4.383 0.000 0.000 0.000 4.383 0.000 0.000 0.000 8.729" Properties=species:S:1:pos:R:3 pbc="T T T"
Ba 1.096 3.287 0.000
Ba 3.287 1.096 0.000
Pr 1.096 1.096 3.401
Pr 3.287 3.287 5.328
N 1.096 1.096 7.193
N 3.287 3.287 1.536
O 1.096 3.287 4.365
O 3.287 1.096 4.365
```

Output
Total moment ... 0.0 μB/f.u.
Total energy ... -6.10 eV per atom
Calculated volume ... 167.7 Å³/cell

=====

Entry 7:
Computed, not measured: SmY2Ge7 after structural relaxation at the GGA-PBE level of DFT.

Cell and atoms, written as extended XYZ:
```
10
Lattice="2.000 -12.636 0.000 2.000 12.636 0.000 0.000 0.000 4.146" Properties=species:S:1:pos:R:3 pbc="T T T"
Sm 0.000 0.000 0.000
Y 2.000 4.710 2.073
Y 2.000 -4.710 2.073
Ge 2.000 10.253 2.073
Ge 2.000 7.157 0.000
Ge 2.000 2.428 0.000
Ge 2.000 0.000 2.073
Ge 2.000 -2.428 0.000
Ge 2.000 -7.157 0.000
Ge 2.000 -10.253 2.073
```

Output
Total moment ... 0.0 μB/f.u.
Total energy ... -5.53 eV per atom
Calculated volume ... 209.6 Å³/cell

=====

Entry 8:
Computed, not measured: PmPAuO after structural relaxation at the GGA-PBE level of DFT.

Cell and atoms, written as extended XYZ:
```
8
Lattice="4.119 0.000 0.000 0.000 4.119 0.000 0.000 0.000 8.387" Properties=species:S:1:pos:R:3 pbc="T T T"
Pm 1.030 1.030 1.118
Pm 3.089 3.089 7.268
P 1.030 1.030 5.723
P 3.089 3.089 2.663
Au 1.030 3.089 4.193
Au 3.089 1.030 4.193
O 1.030 3.089 0.000
O 3.089 1.030 0.000
```

Output
Total moment ... 0.0 μB/f.u.
Total energy ... -6.17 eV per atom
Calculated volume ... 142.3 Å³/cell

=====

Entry 9:
Computed, not measured: Tb2HoSi4Ag4 after structural relaxation at the GGA-PBE level of DFT.

Cell and atoms, written as extended XYZ:
```
11
Lattice="-2.018 2.112 12.826 2.018 -2.112 12.826 2.018 2.112 -12.826" Properties=species:S:1:pos:R:3 pbc="T T T"
Tb 0.000 0.000 3.786
Tb 0.000 0.000 21.866
Ho 0.000 2.112 0.000
Si 2.018 0.000 1.161
Si 0.000 0.000 8.008
Si 0.000 0.000 17.645
Si 0.000 2.112 11.665
Ag 2.018 0.000 6.372
Ag 0.000 0.000 10.439
Ag 0.000 0.000 15.213
Ag 0.000 2.112 6.454
```

Output
Total moment ... 0.0 μB/f.u.
Total energy ... -4.71 eV per atom
Calculated volume ... 218.6 Å³/cell

=====

Entry 10:
Computed, not measured: LaGdB4 after structural relaxation at the GGA-PBE level of DFT.

Cell and atoms, written as extended XYZ:
```
6
Lattice="3.300 0.000 0.000 -1.650 2.858 0.000 0.000 0.000 8.268" Properties=species:S:1:pos:R:3 pbc="T T T"
La 0.000 0.000 0.000
Gd 0.000 0.000 4.134
B 0.000 1.905 2.186
B 0.000 1.905 6.082
B 1.650 0.953 2.186
B 1.650 0.953 6.082
```

Output
Total moment ... 0.0 μB/f.u.
Total energy ... -6.41 eV per atom
Calculated volume ... 78.0 Å³/cell

=====

Entry 11:
Computed, not measured: YTmCu2Si4 after structural relaxation at the GGA-PBE level of DFT.

Cell and atoms, written as extended XYZ:
```
8
Lattice="3.965 0.000 0.000 0.000 1.988 8.453 0.000 -1.988 8.453" Properties=species:S:1:pos:R:3 pbc="T T T"
Y 0.000 0.000 0.000
Tm 1.982 0.000 13.489
Cu 0.000 0.000 3.861
Cu 1.982 0.000 9.644
Si 0.000 0.000 6.124
Si 0.000 0.000 10.993
Si 1.982 0.000 2.524
Si 1.982 0.000 7.353
```

Output
Total moment ... 0.0 μB/f.u.
Total energy ... -5.56 eV per atom
Calculated volume ... 133.3 Å³/cell

=====

Entry 12:
Computed, not measured: GdHf after structural relaxation at the GGA-PBE level of DFT.

Cell and atoms, written as extended XYZ:
```
4
Lattice="5.246 0.000 0.000 -2.623 4.543 0.000 0.000 0.000 5.281" Properties=species:S:1:pos:R:3 pbc="T T T"
Gd 0.000 3.029 1.320
Gd 2.623 1.514 3.961
Hf 0.000 0.000 0.000
Hf 0.000 0.000 2.640
```

Output
Total moment ... 0.0 μB/f.u.
Formation energy from the elements ... 1.656 eV/f.u.
Calculated volume ... 125.9 Å³/cell